Tl4HgPb12 | the Alexandria database | PBE | optimized geometry; ρ = 6.09 Mg/m³; formation enthalpy at 0 K = 0.219 eV/atom; SG = Im-3
1.0
-6.2046 6.2046 6.2046
6.2046 -6.2046 6.2046
6.2046 6.2046 -6.2046
Tl Hg Pb
4 1 12
direct
0.0000 0.0000 0.5000
0.0000 0.5000 0.0000
0.5000 0.0000 0.0000
0.5000 0.5000 0.5000
0.0000 0.0000 0.0000
0.0799 0.8594 0.2204
0.1406 0.2204 0.3610
0.1406 0.7796 0.9201
0.2204 0.0799 0.8594
0.2204 0.3610 0.1406
0.3610 0.1406 0.2204
0.6390 0.8594 0.7796
0.7796 0.6390 0.8594
0.7796 0.9201 0.1406
0.8594 0.2204 0.0799
0.8594 0.7796 0.6390
0.9201 0.1406 0.7796